# Na2In6Pd

A relaxed structure of Na2In6Pd (PBE-GGA, Alexandria via LeMat-Bulk).

Structure (CIF):
```
data_Na2In6Pd
_chemical_formula_sum 'Na2 In6 Pd1'
_symmetry_space_group_name_H-M 'P -3 m 1'
_symmetry_Int_Tables_number 164
_symmetry_space_group_name_Hall '-P 3 2"'
_cell_length_a 6.7149
_cell_length_b 6.7149
_cell_length_c 5.9791
_cell_angle_alpha 90.00
_cell_angle_beta 90.00
_cell_angle_gamma 120.00
loop_
_atom_site_label
_atom_site_type_symbol
_atom_site_fract_x
_atom_site_fract_y
_atom_site_fract_z
Na1 Na 0.3333 0.6667 0.1836
In1 In 0.1757 0.3514 0.6961
Pd1 Pd 0.0000 0.0000 0.0000
```

Results
Distance to the lowest polymorph of the same formula in meV/atom: 0.0



# NaIn3Pd2

A relaxed structure of NaIn3Pd2 (PBE-GGA, Alexandria via LeMat-Bulk).

Structure (CIF):
```
data_NaIn3Pd2
_chemical_formula_sum 'Na4 In12 Pd8'
_symmetry_space_group_name_H-M 'I m m a'
_symmetry_Int_Tables_number 74
_symmetry_space_group_name_Hall '-I 2b 2'
_cell_length_a 7.764
_cell_length_b 10.527
_cell_length_c 6.907
_cell_angle_alpha 90.00
_cell_angle_beta 90.00
_cell_angle_gamma 90.00
loop_
_atom_site_label
_atom_site_type_symbol
_atom_site_fract_x
_atom_site_fract_y
_atom_site_fract_z
Na1 Na 0.000 0.250 0.181
In1 In 0.201 0.000 0.500
In2 In 0.250 0.250 0.750
Pd1 Pd 0.000 0.068 0.814
```

Results
Distance to the lowest polymorph of the same formula in meV/atom: 0.0



# Na2InPd2

A relaxed structure of Na2InPd2 (PBE-GGA, Alexandria via LeMat-Bulk).

Structure (CIF):
```
data_Na2InPd2
_chemical_formula_sum 'Na4 In2 Pd4'
_symmetry_space_group_name_H-M 'I 4/m m m'
_symmetry_Int_Tables_number 139
_symmetry_space_group_name_Hall '-I 4 2'
_cell_length_a 3.732
_cell_length_b 3.732
_cell_length_c 14.359
_cell_angle_alpha 90.00
_cell_angle_beta 90.00
_cell_angle_gamma 90.00
loop_
_atom_site_label
_atom_site_type_symbol
_atom_site_fract_x
_atom_site_fract_y
_atom_site_fract_z
Na1 Na 0.000 0.500 0.250
In1 In 0.000 0.000 0.000
Pd1 Pd 0.000 0.000 0.408
```

Results
Distance to the lowest polymorph of the same formula in meV/atom: 304.8



# Na3In3Pd2

A relaxed structure of Na3In3Pd2 (PBE-GGA, Alexandria via LeMat-Bulk).

Structure (CIF):
```
data_Na3In3Pd2
_chemical_formula_sum 'Na3 In3 Pd2'
_symmetry_space_group_name_H-M 'P -6 2 m'
_symmetry_Int_Tables_number 189
_symmetry_space_group_name_Hall 'P -6 -2'
_cell_length_a 8.0991
_cell_length_b 8.0991
_cell_length_c 3.0796
_cell_angle_alpha 90.00
_cell_angle_beta 90.00
_cell_angle_gamma 120.00
loop_
_atom_site_label
_atom_site_type_symbol
_atom_site_fract_x
_atom_site_fract_y
_atom_site_fract_z
Na1 Na 0.0000 0.2358 0.0000
In1 In 0.0000 0.5842 0.5000
Pd1 Pd 0.3333 0.6667 0.0000
```

Results
Calculated total energy in eV/atom: -3.076



# Na2InPd2

A relaxed structure of Na2InPd2 (PBE-GGA, Alexandria via LeMat-Bulk).

Structure (CIF):
```
data_Na2InPd2
_chemical_formula_sum 'Na8 In4 Pd8'
_symmetry_space_group_name_H-M 'C 1 2/c 1'
_symmetry_Int_Tables_number 15
_cell_length_a 9.976
_cell_length_b 5.753
_cell_length_c 8.159
_cell_angle_alpha 90.00
_cell_angle_beta 103.36
_cell_angle_gamma 90.00
loop_
_symmetry_equiv_pos_as_xyz
'x,y,z'
'-x,-y,-z'
'-x,y,-z+1/2'
'x,-y,z+1/2'
'x+1/2,y+1/2,z'
'-x+1/2,-y+1/2,-z'
'-x+1/2,y+1/2,-z+1/2'
'x+1/2,-y+1/2,z+1/2'
loop_
_atom_site_label
_atom_site_type_symbol
_atom_site_fract_x
_atom_site_fract_y
_atom_site_fract_z
Na1 Na 0.148 0.135 0.147
In1 In 0.000 0.373 0.750
Pd1 Pd 0.135 0.362 0.506
```

Results
Distance to the lowest polymorph of the same formula in meV/atom: 44.5



# Na2In2Pd

A relaxed structure of Na2In2Pd (PBE-GGA, Alexandria via LeMat-Bulk).

Structure (CIF):
```
data_Na2In2Pd
_chemical_formula_sum 'Na4 In4 Pd2'
_symmetry_space_group_name_H-M 'P 4/m b m'
_symmetry_Int_Tables_number 127
_symmetry_space_group_name_Hall '-P 4 2ab'
_cell_length_a 7.036
_cell_length_b 7.036
_cell_length_c 5.301
_cell_angle_alpha 90.00
_cell_angle_beta 90.00
_cell_angle_gamma 90.00
loop_
_atom_site_label
_atom_site_type_symbol
_atom_site_fract_x
_atom_site_fract_y
_atom_site_fract_z
Na1 Na 0.174 0.326 0.000
In1 In 0.149 0.649 0.500
Pd1 Pd 0.000 0.000 0.500
```

Results
Distance to the lowest polymorph of the same formula in meV/atom: 52.8